Material: YFe2Te
Method: DFT, GGA-PBE
State: optimized geometry

Cell and atoms, written as CIF:
```
data_YFe2Te
_cell_length_a 3.3778
_cell_length_b 3.3778
_cell_length_c 6.7799
_cell_angle_alpha 90.00
_cell_angle_beta 90.00
_cell_angle_gamma 90.00
_space_group_name_H-M_alt 'P 4 m m'
_space_group_IT_number 99
loop_
_space_group_symop_operation_xyz
'x,y,z'
'-y,x,z'
'-x,-y,z'
'y,-x,z'
'-x,y,z'
'y,x,z'
'x,-y,z'
'-y,-x,z'
loop_
_atom_site_label
_atom_site_type_symbol
_atom_site_fract_x
_atom_site_fract_y
_atom_site_fract_z
Y1 Y 0.0000 0.0000 0.0000
Fe1 Fe 0.0000 0.0000 0.4350
Fe2 Fe 0.5000 0.5000 0.2764
Te1 Te 0.5000 0.5000 0.6695
```



Material: YFeTe
Method: DFT, GGA-PBE
State: optimized geometry

Cell and atoms, written as CIF:
```
data_YFeTe
_cell_length_a 3.6562
_cell_length_b 3.6562
_cell_length_c 10.0511
_cell_angle_alpha 90.00
_cell_angle_beta 90.00
_cell_angle_gamma 90.00
_space_group_name_H-M_alt 'I 4 m m'
_space_group_IT_number 107
_space_group_name_Hall 'I 4 -2'
loop_
_atom_site_label
_atom_site_type_symbol
_atom_site_fract_x
_atom_site_fract_y
_atom_site_fract_z
Y1 Y 0.0000 0.0000 0.0000
Fe1 Fe 0.0000 0.0000 0.6803
Te1 Te 0.0000 0.0000 0.3056
```



Material: YFe2Te
Method: DFT, GGA-PBE
State: optimized geometry

Cell and atoms, written as CIF:
```
data_YFe2Te
_cell_length_a 7.1979
_cell_length_b 7.1979
_cell_length_c 6.0191
_cell_angle_alpha 90.00
_cell_angle_beta 90.00
_cell_angle_gamma 90.00
_space_group_name_H-M_alt 'I -4 2 d'
_space_group_IT_number 122
_space_group_name_Hall 'I -4 2bw'
loop_
_atom_site_label
_atom_site_type_symbol
_atom_site_fract_x
_atom_site_fract_y
_atom_site_fract_z
Y1 Y 0.0000 0.0000 0.0000
Fe1 Fe 0.1989 0.7500 0.6250
Te1 Te 0.0000 0.0000 0.5000
```



Material: YFe2Te
Method: DFT, GGA-PBE
State: optimized geometry

Cell and atoms, written as CIF:
```
data_YFe2Te
_cell_length_a 4.2371
_cell_length_b 4.2371
_cell_length_c 4.1778
_cell_angle_alpha 90.00
_cell_angle_beta 90.00
_cell_angle_gamma 90.00
_space_group_name_H-M_alt 'P 4/m m m'
_space_group_IT_number 123
_space_group_name_Hall '-P 4 2'
loop_
_atom_site_label
_atom_site_type_symbol
_atom_site_fract_x
_atom_site_fract_y
_atom_site_fract_z
Y1 Y 0.0000 0.0000 0.0000
Fe1 Fe 0.0000 0.5000 0.5000
Te1 Te 0.5000 0.5000 0.0000
```



Which D(E_F) belongs to each record? In order, 3.45 5.48 36.89 2.64 states/eV per cell.
Which energy relative to the elements, uncorrected belongs to each record? In order, 19 -213 546 35 meV/atom.